First-principles (GGA-PBEsol) data for crystalline ZnTc4 at its relaxed geometry, as listed in Alexandria.

Values from the calculation:
Crystal system ... tetragonal
E above lowest polymorph ... 0 meV per atom
Spin magnetization ... 0.00 μB per atom
Formation energy ... 0.425 eV/f.u.

abc: 6.0035 6.0035 3.8329
angles: 90.00 90.00 90.00
Last column: nearest neighbours and their distance in Å.
Space group I4/m (No. 87)
Unique sites:
Zn1 0.0000 0.0000 0.0000 x2  12 Tc 2.67-2.76
Tc1 0.0882 0.2973 0.5000 x8  9 Tc 2.63-2.79, 3 Zn 2.67-2.76